[1]
Here is an optimized crystal structure of LiCePa2Se5 from the Alexandria database. Energies are from GGA-PBE. Values from VASP.

```
&SYSTEM
  ibrav = 0, nat = 18, ntyp = 4
/
ATOMIC_SPECIES
Se 78.96 Se.upf
Li 6.94 Li.upf
Pa 231.04 Pa.upf
Ce 140.12 Ce.upf
CELL_PARAMETERS angstrom
7.710 0.000 0.000
0.000 7.710 0.000
-3.855 -3.855 7.099
ATOMIC_POSITIONS angstrom
Se 3.855 3.855 0.000
Se -2.574 1.281 5.090
Se 1.281 5.136 2.009
Se 1.281 2.574 5.090
Se 2.574 1.281 2.009
Se -1.281 -2.574 5.090
Se 6.429 2.574 2.009
Se 0.000 0.000 0.000
Se 5.136 6.429 2.009
Se 2.574 -1.281 5.090
Li 3.855 0.000 3.550
Li 0.000 3.855 3.550
Pa 1.126 2.730 0.000
Pa 4.981 1.126 0.000
Pa 2.730 6.585 0.000
Pa 6.585 4.981 0.000
Ce 0.000 0.000 3.550
Ce 3.855 3.855 3.550
```

Output
size of the total moment: 9.99 μB/cell
space-group type: I4/mcm
DFT total energy: -113.53 eV for the cell shown

---

[2]
Here is an optimized crystal structure of AsH2W from the Alexandria database. Energies are from GGA-PBE. Values from VASP.

```
&SYSTEM
  ibrav = 0, nat = 4, ntyp = 3
/
ATOMIC_SPECIES
H 1.01 H.upf
W 183.84 W.upf
As 74.92 As.upf
CELL_PARAMETERS angstrom
0.505 -3.270 1.920
2.076 -0.031 3.213
-1.714 -0.518 3.380
ATOMIC_POSITIONS angstrom
H 0.650 -2.864 6.385
H 0.217 -0.955 2.128
W 0.433 -1.910 4.256
As 0.000 0.000 0.000
```

Output
E above lowest polymorph: 1022 meV per atom
size of the total moment: 0.41 μB/cell
space-group type: Fm-3m

---

[3]
Here is an optimized crystal structure of K2AsCl from the Alexandria database. Energies are from GGA-PBE. Values from VASP.

```
&SYSTEM
  ibrav = 0, nat = 4, ntyp = 3
/
ATOMIC_SPECIES
Cl 35.45 Cl.upf
K 39.10 K.upf
As 74.92 As.upf
CELL_PARAMETERS angstrom
7.721 0.015 0.000
4.968 5.910 0.000
-6.345 -2.962 3.253
ATOMIC_POSITIONS angstrom
Cl 3.860 0.007 1.626
K 2.484 2.955 1.626
K 0.000 0.000 0.000
As 6.345 2.962 0.000
```

Output
E above lowest polymorph: 273 meV per atom
size of the total moment: 2.00 μB/cell
space-group type: I-4m2

---

[4]
Here is an optimized crystal structure of Na2GeAs2 from the Alexandria database. Energies are from GGA-PBE. Values from VASP.

```
&SYSTEM
  ibrav = 0, nat = 10, ntyp = 3
/
ATOMIC_SPECIES
As 74.92 As.upf
Na 22.99 Na.upf
Ge 72.64 Ge.upf
CELL_PARAMETERS angstrom
-1.737 -1.380 3.615
3.092 -5.266 1.964
6.891 2.898 6.907
ATOMIC_POSITIONS angstrom
As 4.110 -1.963 8.691
As 0.299 -0.655 2.382
As 7.946 -3.094 10.103
As 4.136 -1.785 3.795
Na 6.728 -2.697 7.181
Na 2.521 -3.658 2.303
Na 5.725 -0.090 10.182
Na 1.518 -1.052 5.305
Ge 4.101 0.057 6.970
Ge 4.145 -3.805 5.516
```

Output
E above lowest polymorph: 80 meV per atom
ΔH_f (0 K): -224 meV/atom
size of the total moment: 0.00 μB/cell
space-group type: C2/m

---

[5]
Here is an optimized crystal structure of Y2ZrSi2 from the Alexandria database. Energies are from GGA-PBE. Values from VASP.

```
&SYSTEM
  ibrav = 0, nat = 10, ntyp = 3
/
ATOMIC_SPECIES
Y 88.91 Y.upf
Si 28.09 Si.upf
Zr 91.22 Zr.upf
CELL_PARAMETERS angstrom
7.301 0.000 0.000
0.000 7.301 0.000
0.000 0.000 4.148
ATOMIC_POSITIONS angstrom
Y 1.286 4.937 2.074
Y 6.015 2.364 2.074
Y 4.937 6.015 2.074
Y 2.364 1.286 2.074
Si 2.754 6.404 0.000
Si 4.547 0.897 0.000
Si 0.897 2.754 0.000
Si 6.404 4.547 0.000
Zr 3.651 3.651 0.000
Zr 0.000 0.000 0.000
```

Output
size of the total moment: 0.00 μB/cell
space-group type: P4/mbm
DFT total energy: -71.79 eV for the cell shown

---

[6]
Here is an optimized crystal structure of CdPAu from the Alexandria database. Energies are from GGA-PBE. Values from VASP.

```
&SYSTEM
  ibrav = 0, nat = 3, ntyp = 3
/
ATOMIC_SPECIES
P 30.97 P.upf
Cd 112.41 Cd.upf
Au 196.97 Au.upf
CELL_PARAMETERS angstrom
-3.025 -2.713 0.675
3.826 -1.327 -0.752
0.839 0.087 4.113
ATOMIC_POSITIONS angstrom
P 2.177 -1.723 2.836
Cd -0.464 -2.222 1.558
Au 0.766 0.080 3.753
```

Output
ΔH_f (0 K): 132 meV/atom
size of the total moment: 0.00 μB/cell
space-group type: P3m1

---

[7]
Here is an optimized crystal structure of Y2CdAg6 from the Alexandria database. Energies are from GGA-PBE. Values from VASP.

```
&SYSTEM
  ibrav = 0, nat = 9, ntyp = 3
/
ATOMIC_SPECIES
Ag 107.87 Ag.upf
Y 88.91 Y.upf
Cd 112.41 Cd.upf
CELL_PARAMETERS angstrom
-3.679 -3.639 2.616
4.662 -4.020 0.979
3.374 0.338 5.230
ATOMIC_POSITIONS angstrom
Ag 1.098 -4.923 3.336
Ag 3.260 -2.398 5.490
Ag 0.520 -2.967 5.244
Ag 3.838 -4.354 3.582
Ag 5.348 -4.197 5.924
Ag -0.991 -3.123 2.902
Y 2.253 -5.523 6.344
Y 2.104 -1.798 2.481
Cd 0.000 0.000 0.000
```

Output
E above lowest polymorph: 20 meV per atom
ΔH_f (0 K): -167 meV/atom
size of the total moment: 0.00 μB/cell
space-group type: C2/m

---

[8]
Here is an optimized crystal structure of Tb2Al4ZnPd3 from the Alexandria database. Energies are from GGA-PBE. Values from VASP.

```
&SYSTEM
  ibrav = 0, nat = 10, ntyp = 4
/
ATOMIC_SPECIES
Tb 158.93 Tb.upf
Al 26.98 Al.upf
Pd 106.42 Pd.upf
Zn 65.41 Zn.upf
CELL_PARAMETERS angstrom
-1.345 -3.595 -1.665
0.600 -1.923 3.668
-10.037 2.411 2.906
ATOMIC_POSITIONS angstrom
Tb -3.166 -1.199 -0.110
Tb -7.244 0.851 4.018
Al 0.000 0.000 0.000
Al -7.040 -0.268 1.011
Al -0.373 -2.759 1.001
Al -3.370 -0.080 2.896
Pd -5.019 1.205 1.453
Pd -1.050 -0.637 2.225
Pd -9.360 0.289 1.683
Zn -5.391 -1.554 2.455
```

Output
ΔH_f (0 K): -751 meV/atom
size of the total moment: 0.00 μB/cell
space-group type: P-4m2

---

[9]
Here is an optimized crystal structure of GePPtCl2 from the Alexandria database. Energies are from GGA-PBE. Values from VASP.

```
&SYSTEM
  ibrav = 0, nat = 5, ntyp = 4
/
ATOMIC_SPECIES
Pt 195.08 Pt.upf
P 30.97 P.upf
Cl 35.45 Cl.upf
Ge 72.64 Ge.upf
CELL_PARAMETERS angstrom
4.886 0.000 0.000
0.000 4.886 0.000
0.000 0.000 4.715
ATOMIC_POSITIONS angstrom
Pt 0.000 0.000 0.000
P 0.000 0.000 2.357
Cl 2.443 0.000 0.000
Cl 0.000 2.443 0.000
Ge 2.443 2.443 2.357
```

Output
E above lowest polymorph: 57 meV per atom
size of the total moment: 0.00 μB/cell
space-group type: P4/mmm

---

[10]
Here is an optimized crystal structure of Dy2Tm3Co2 from the Alexandria database. Energies are from GGA-PBE. Values from VASP.

```
&SYSTEM
  ibrav = 0, nat = 7, ntyp = 3
/
ATOMIC_SPECIES
Tm 168.93 Tm.upf
Dy 162.50 Dy.upf
Co 58.93 Co.upf
CELL_PARAMETERS angstrom
3.615 0.000 0.000
-1.807 5.916 -0.442
0.000 -3.300 8.127
ATOMIC_POSITIONS angstrom
Tm 1.807 0.000 0.000
Tm 0.000 2.621 4.315
Tm 1.807 -0.004 3.370
Dy 0.000 -0.630 6.376
Dy 1.807 3.247 1.310
Co 1.807 1.317 5.888
Co 0.000 1.300 1.797
```

Output
ΔH_f (0 K): -191 meV/atom
size of the total moment: 0.00 μB/cell
space-group type: C2/m

---

[11]
Here is an optimized crystal structure of Co3OsC from the Alexandria database. Energies are from GGA-PBE. Values from VASP.

```
&SYSTEM
  ibrav = 0, nat = 5, ntyp = 3
/
ATOMIC_SPECIES
Os 190.23 Os.upf
Co 58.93 Co.upf
C 12.01 C.upf
CELL_PARAMETERS angstrom
3.778 0.000 0.000
0.000 3.778 0.000
0.000 0.000 3.778
ATOMIC_POSITIONS angstrom
Os 1.889 1.889 1.889
Co 0.000 1.889 0.000
Co 0.000 0.000 1.889
Co 1.889 0.000 0.000
C 0.000 0.000 0.000
```

Output
ΔH_f (0 K): 465 meV/atom
size of the total moment: 4.81 μB/cell
space-group type: Pm-3m

---

[12]
Here is an optimized crystal structure of TaCrW2 from the Alexandria database. Energies are from GGA-PBE. Values from VASP.

```
&SYSTEM
  ibrav = 0, nat = 4, ntyp = 3
/
ATOMIC_SPECIES
W 183.84 W.upf
Ta 180.95 Ta.upf
Cr 52.00 Cr.upf
CELL_PARAMETERS angstrom
3.145 0.000 0.000
0.000 3.145 0.000
0.000 0.000 6.302
ATOMIC_POSITIONS angstrom
W 1.572 1.572 1.633
W 0.000 0.000 0.042
Ta 1.572 1.572 4.663
Cr 0.000 0.000 3.116
```

Output
E above lowest polymorph: 0 meV per atom
ΔH_f (0 K): -31 meV/atom
size of the total moment: 0.00 μB/cell
space-group type: P4mm

---

[13]
Here is an optimized crystal structure of UPdAu2 from the Alexandria database. Energies are from GGA-PBE. Values from VASP.

```
&SYSTEM
  ibrav = 0, nat = 4, ntyp = 3
/
ATOMIC_SPECIES
U 238.03 U.upf
Au 196.97 Au.upf
Pd 106.42 Pd.upf
CELL_PARAMETERS angstrom
-0.734 -3.801 2.681
2.841 -1.322 -3.514
1.960 3.460 2.515
ATOMIC_POSITIONS angstrom
U 1.140 -1.451 2.390
Au 1.054 -2.561 -0.417
Au 0.000 0.000 0.000
Pd 2.927 -0.212 -0.708
```

Output
E above lowest polymorph: 0 meV per atom
ΔH_f (0 K): -245 meV/atom
size of the total moment: 2.15 μB/cell
space-group type: I4/mmm